(1)
A relaxed InTeAs2 crystal. Source: Alexandria, functional PBE.

a b c (Å): 7.3171 7.3171 7.3171
angles (deg): 32.66 32.66 32.66
With the nearest neighbours (Å) after each atom.
Fractional positions:
In 0.0000 0.0000 0.0000  3 As 2.99, 3 Te 3.02
Te 0.7565 0.7565 0.7565  3 In 3.02, 3 As 3.06
As 0.2462 0.2462 0.2462  3 As 2.72, 3 In 2.99
As 0.5159 0.5159 0.5159  3 As 2.72

Summary:
Formation energy without anion corrections: -0.030 eV/atom
Calculated density: 6.4 g/cm3
N(E_F): 1.53 states/eV/f.u.
Relative energy among the computed polymorphs: 0 meV per atom

***

(2)
A relaxed U2PaN6 crystal. Source: Alexandria, functional PBE.

a b c (Å): 6.1111 6.1111 7.2013
angles (deg): 122.95 122.95 39.17
With the nearest neighbours (Å) after each atom.
Fractional positions:
U 0.1799 0.1799 0.1196  4 N 1.99-2.21
U 0.8201 0.8201 0.8804  4 N 1.99-2.21
Pa 0.0000 0.0000 0.5000  8 N 2.31-2.55
N 0.0160 0.0160 0.1946  2 U 2.08-2.24, 1 Pa 2.31
N 0.2466 0.2466 0.8738  3 U 2.21-2.30
N 0.3697 0.3697 0.4171  1 U 1.99
N 0.6303 0.6303 0.5829  1 U 1.99
N 0.7534 0.7534 0.1262  3 U 2.21-2.30
N 0.9840 0.9840 0.8054  2 U 2.08-2.24, 1 Pa 2.31

Summary:
Formation energy without anion corrections: -1.122 eV/atom
Calculated density: 9.5 g/cm3
N(E_F): 7.92 states/eV/f.u.

***

(3)
A relaxed Cs2TlSb crystal. Source: Alexandria, functional PBE.

a b c (Å): 7.3668 7.3668 6.0593
angles (deg): 114.13 114.13 50.93
With the nearest neighbours (Å) after each atom.
Fractional positions:
Cs 0.0000 0.0000 0.0000  3 Tl 3.96-4.25, 3 Sb 4.01-4.22, 1 Cs 4.28
Cs 0.6395 0.6395 0.6389  3 Tl 3.97-4.26, 3 Sb 4.00-4.21, 1 Cs 4.28
Tl 0.3199 0.3199 0.1280  2 Sb 2.99-3.07
Sb 0.3198 0.3198 0.6221  2 Tl 2.99-3.07

Summary:
Formation energy without anion corrections: -0.211 eV/atom
Calculated density: 4.3 g/cm3
N(E_F): 1.48 states/eV/f.u.
Relative energy among the computed polymorphs: 134 meV per atom

***

(4)
A relaxed Nd2TaMnN5 crystal. Source: Alexandria, functional PBE.

a b c (Å): 7.3009 7.3009 10.1600
angles (deg): 90.00 90.00 154.02
With the nearest neighbours (Å) after each atom.
Fractional positions:
Nd 0.1191 0.8809 0.5000  8 N 2.54-2.84
Nd 0.1291 0.8709 0.1327  6 N 2.50-2.57
Nd 0.8709 0.1291 0.6327  6 N 2.50-2.57
Nd 0.8809 0.1191 0.0000  8 N 2.54-2.84
Ta 0.2053 0.7947 0.8317  3 N 1.92-2.13
Ta 0.7947 0.2053 0.3317  3 N 1.92-2.13
Mn 0.4512 0.5488 0.2527  4 N 1.75-1.94
Mn 0.5488 0.4512 0.7527  4 N 1.75-1.94
N 0.0362 0.9638 0.8249  2 Mn 1.81
N 0.3000 0.7000 0.4653  2 Ta 2.13
N 0.3219 0.6781 0.1905  1 Mn 1.94
N 0.3400 0.6600 0.8153  1 Ta 1.92
N 0.4994 0.5006 0.0942  1 Mn 1.75
N 0.5006 0.4994 0.5942  1 Mn 1.75
N 0.6600 0.3400 0.3153  1 Ta 1.92
N 0.6781 0.3219 0.6905  1 Mn 1.94
N 0.7000 0.3000 0.9653  2 Ta 2.13
N 0.9638 0.0362 0.3249  2 Mn 1.81

Summary:
Formation energy without anion corrections: -1.013 eV/atom
Calculated density: 8.3 g/cm3
N(E_F): 2.90 states/eV/f.u.

***

(5)
A relaxed Rb3TcBr8 crystal. Source: Alexandria, functional PBE.

a b c (Å): 10.4955 10.4955 9.1930
angles (deg): 90.00 90.00 120.00
With the nearest neighbours (Å) after each atom.
Fractional positions:
Rb 0.1508 0.3017 0.0000  5 Br 3.37-3.64
Rb 0.1508 0.8492 0.0000  5 Br 3.37-3.64
Rb 0.3017 0.1508 0.5000  5 Br 3.37-3.64
Rb 0.6983 0.8492 0.0000  5 Br 3.37-3.64
Rb 0.8492 0.1508 0.5000  5 Br 3.37-3.64
Rb 0.8492 0.6983 0.5000  5 Br 3.37-3.64
Tc 0.3333 0.6667 0.4316  6 Br 2.50-2.54
Tc 0.6667 0.3333 0.9316  6 Br 2.50-2.54
Br 0.0000 0.0000 0.2545  6 Rb 3.55-3.60
Br 0.0000 0.0000 0.7545  6 Rb 3.55-3.60
Br 0.1086 0.5543 0.2749  1 Tc 2.50
Br 0.2198 0.4396 0.5927  1 Tc 2.54
Br 0.2198 0.7802 0.5927  1 Tc 2.54
Br 0.3333 0.6667 0.9378  3 Rb 3.37, 3 Br 3.71
Br 0.4396 0.2198 0.0927  1 Tc 2.54
Br 0.4457 0.5543 0.2749  1 Tc 2.50
Br 0.4457 0.8914 0.2749  1 Tc 2.50
Br 0.5543 0.1086 0.7749  1 Tc 2.50
Br 0.5543 0.4457 0.7749  1 Tc 2.50
Br 0.5604 0.7802 0.5927  1 Tc 2.54
Br 0.6667 0.3333 0.4378  3 Rb 3.37, 3 Br 3.71
Br 0.7802 0.2198 0.0927  1 Tc 2.54
Br 0.7802 0.5604 0.0927  1 Tc 2.54
Br 0.8914 0.4457 0.7749  1 Tc 2.50

Summary:
Formation energy without anion corrections: -1.010 eV/atom
Calculated density: 3.8 g/cm3
N(E_F): 7.74 states/eV/f.u.

***

(6)
A relaxed TiIn2RuPb crystal. Source: Alexandria, functional PBE.

a b c (Å): 5.2320 5.2320 5.2637
angles (deg): 90.00 90.00 90.00
With the nearest neighbours (Å) after each atom.
Fractional positions:
Ti 0.0000 0.0000 0.0000  4 In 2.62, 2 Pb 2.63
In 0.0000 0.5000 0.0000  2 Ti 2.62
In 0.5000 0.0000 0.0000  2 Ti 2.62
Ru 0.5000 0.5000 0.5000  4 Pb 3.70, 8 In 3.71
Pb 0.0000 0.0000 0.5000  2 Ti 2.63

Summary:
Calculated density: 6.8 g/cm3
N(E_F): 7.05 states/eV/f.u.
Energy of formation from the pure elements: 1194 meV/atom

***

(7)
A relaxed PmNd2Ga3Pt4 crystal. Source: Alexandria, functional PBE.

a b c (Å): 4.3183 4.3183 11.3905
angles (deg): 90.00 90.00 90.00
With the nearest neighbours (Å) after each atom.
Fractional positions:
Pm 0.0000 0.0000 0.0000  4 Pt 2.84, 4 Ga 3.05
Nd 0.0000 0.5000 0.7230  4 Ga 3.27, 8 Pt 3.32-3.33
Nd 0.5000 0.0000 0.2770  4 Ga 3.27, 8 Pt 3.32-3.33
Ga 0.0000 0.5000 0.3804  5 Pt 2.49-2.55
Ga 0.5000 0.0000 0.6196  5 Pt 2.49-2.55
Ga 0.5000 0.5000 0.0000  4 Pt 2.84, 4 Pm 3.05
Pt 0.0000 0.0000 0.5000  4 Ga 2.55
Pt 0.0000 0.5000 0.1620  1 Ga 2.49
Pt 0.5000 0.0000 0.8380  1 Ga 2.49
Pt 0.5000 0.5000 0.5000  4 Ga 2.55

Summary:
Calculated density: 11.1 g/cm3
N(E_F): 7.70 states/eV/f.u.
Energy of formation from the pure elements: -937 meV/atom

***

(8)
A relaxed Mo2OsRh2 crystal. Source: Alexandria, functional PBE.

a b c (Å): 4.7409 4.7409 6.1099
angles (deg): 129.29 129.29 48.64
With the nearest neighbours (Å) after each atom.
Fractional positions:
Mo 0.0934 0.0934 0.2980  6 Rh 2.71-2.77, 3 Os 2.71-2.80, 3 Mo 2.77-2.82
Mo 0.9066 0.9066 0.7020  6 Rh 2.71-2.77, 3 Os 2.71-2.80, 3 Mo 2.77-2.82
Os 0.5000 0.5000 0.5000  6 Mo 2.71-2.80, 6 Rh 2.75-2.78
Rh 0.3010 0.3010 0.9018  6 Mo 2.71-2.77, 3 Rh 2.74, 3 Os 2.75-2.78
Rh 0.6990 0.6990 0.0982  6 Mo 2.71-2.77, 3 Rh 2.74, 3 Os 2.75-2.78

Summary:
Calculated density: 13.2 g/cm3
N(E_F): 4.99 states/eV/f.u.
Energy of formation from the pure elements: -49 meV/atom
Relative energy among the computed polymorphs: 0 meV per atom